# Er3ScCo

A geometry-optimized Er3ScCo structure (PBE-GGA, Alexandria via LeMat-Bulk).

Unit cell a=11.6352 b=3.5514 c=13.3096 alpha=90.00 beta=115.49 gamma=90.00
Space group Cm (No. 8)
Unique sites:
Er  0.0000  0.0000  0.0000 x2
Er  0.0435  0.0000  0.5911 x2
Er  0.1338  0.5000  0.8483 x2
Er  0.1955  0.5000  0.2374 x2
Er  0.2641  0.0000  0.4766 x2
Er  0.3317  0.5000  0.7217 x2
Sc  0.3288  0.0000  0.0881 x2
Sc  0.4831  0.0000  0.3500 x2
Co  0.0025  0.0000  0.2130 x2
Co  0.3182  0.0000  0.8780 x2

ΔH_f (0 K)   -0.63 eV/f.u.
Energy above the lowest structure with this stoichiometry   0.000 eV/atom